1.
# Tm2SnRh3, optimized geometry, DFT PBE
data_Tm2SnRh3
_chemical_formula_sum 'Tm2 Sn1 Rh3'
_symmetry_space_group_name_H-M 'P 1'
_symmetry_Int_Tables_number 1
_cell_length_a 4.723
_cell_length_b 4.723
_cell_length_c 5.706
_cell_angle_alpha 90.00
_cell_angle_beta 90.00
_cell_angle_gamma 120.00
loop_
_symmetry_equiv_pos_as_xyz
'x,y,z'
loop_
_atom_site_label
_atom_site_fract_x
_atom_site_fract_y
_atom_site_fract_z
Tm1 0.333 0.667 0.180
Tm2 0.667 0.333 0.820
Sn1 0.000 0.000 0.500
Rh1 0.000 0.000 0.000
Rh2 0.333 0.667 0.676
Rh3 0.667 0.333 0.324
# Formation enthalpy at 0 K = -0.88 eV per atom
# Volume = 110.2 Å³/cell
# Raw total energy = -6.711 eV per atom
# SG = P-3m1

***

2.
# Eu3CdPd, optimized geometry, DFT PBE
data_Eu3CdPd
_chemical_formula_sum 'Eu3 Cd1 Pd1'
_symmetry_space_group_name_H-M 'P 1'
_symmetry_Int_Tables_number 1
_cell_length_a 5.712
_cell_length_b 5.712
_cell_length_c 5.712
_cell_angle_alpha 90.00
_cell_angle_beta 90.00
_cell_angle_gamma 90.00
loop_
_symmetry_equiv_pos_as_xyz
'x,y,z'
loop_
_atom_site_label
_atom_site_fract_x
_atom_site_fract_y
_atom_site_fract_z
Eu1 0.000 0.000 0.500
Eu2 0.000 0.500 0.000
Eu3 0.500 0.000 0.000
Cd1 0.500 0.500 0.500
Pd1 0.000 0.000 0.000
# Formation enthalpy at 0 K = -0.27 eV per atom
# Volume = 186.4 Å³/cell
# Raw total energy = -7.660 eV per atom
# SG = Pm-3m

***

3.
# Pu2ZrCd, optimized geometry, DFT PBE
data_Pu2ZrCd
_chemical_formula_sum 'Pu2 Zr1 Cd1'
_symmetry_space_group_name_H-M 'P 1'
_symmetry_Int_Tables_number 1
_cell_length_a 4.018
_cell_length_b 4.018
_cell_length_c 6.394
_cell_angle_alpha 90.00
_cell_angle_beta 90.00
_cell_angle_gamma 90.00
loop_
_symmetry_equiv_pos_as_xyz
'x,y,z'
loop_
_atom_site_label
_atom_site_fract_x
_atom_site_fract_y
_atom_site_fract_z
Pu1 0.000 0.000 0.247
Pu2 0.000 0.000 0.753
Zr1 0.500 0.500 0.500
Cd1 0.500 0.500 0.000
# Formation enthalpy at 0 K = 0.21 eV per atom
# Volume = 103.2 Å³/cell
# Raw total energy = -9.319 eV per atom
# Offset from the most stable computed form = 0.1200 eV/atom
# SG = P4/mmm

***

4.
# SrBeOsF2, optimized geometry, DFT PBE
data_SrBeOsF2
_chemical_formula_sum 'Sr1 Be1 Os1 F2'
_symmetry_space_group_name_H-M 'P 1'
_symmetry_Int_Tables_number 1
_cell_length_a 4.316
_cell_length_b 4.316
_cell_length_c 7.392
_cell_angle_alpha 90.00
_cell_angle_beta 90.00
_cell_angle_gamma 90.00
loop_
_symmetry_equiv_pos_as_xyz
'x,y,z'
loop_
_atom_site_label
_atom_site_fract_x
_atom_site_fract_y
_atom_site_fract_z
Sr1 0.000 0.000 0.000
Be1 0.000 0.000 0.500
Os1 0.500 0.500 0.500
F1 0.000 0.500 0.000
F2 0.500 0.000 0.000
# E_form (uncorrected) = -0.275 eV per atom
# Volume = 137.7 Å³/cell
# Raw total energy = -4.351 eV per atom
# SG = P4/mmm